Density functional theory data (PBE) for an optimized crystal structure of CaMgTe3.

formation energy from raw total energies = 0.01 eV per atom
calculated volume = 195 Å³ per cell
magnetization = 0.0 Bohr magnetons per cell
E above lowest polymorph = 0.446 eV per atom
D(E_F) = 10.24 states/eV per cell

abc: 5.7959 5.7959 5.7959
angles: 90.00 90.00 90.00
Closest atoms and distances in Å follow each position.
Fractional coordinates of all 5 atoms:
Ca  0.0000  0.0000  0.0000  6 Te 2.90
Te  0.0000  0.5000  0.0000  2 Ca 2.90
Te  0.0000  0.0000  0.5000  2 Ca 2.90
Te  0.5000  0.0000  0.0000  2 Ca 2.90
Mg  0.5000  0.5000  0.5000  12 Te 4.10



Density functional theory data (PBE) for an optimized crystal structure of RbZnCd2.

calculated volume = 133 Å³ per cell
magnetization = 0.0 Bohr magnetons per cell
ΔE_f = -5 kJ/mol of formula units
D(E_F) = 2.50 states/eV per cell

abc: 4.8468 4.8468 7.1260
angles: 70.12 70.12 60.00
Closest atoms and distances in Å follow each position.
Fractional coordinates of all 4 atoms:
Rb  0.4967  0.4967  0.5100  4 Zn 3.65-4.03, 7 Cd 3.73-4.06
Zn  0.6825  0.6825  0.9526  6 Cd 2.80-2.92
Cd  0.0138  0.0138  0.9586  3 Zn 2.80, 3 Cd 2.91
Cd  0.3071  0.3071  0.0788  3 Cd 2.91, 3 Zn 2.92



Density functional theory data (PBE) for an optimized crystal structure of La3Pm2Sm.

calculated volume = 435 Å³ per cell
magnetization = 0.0 Bohr magnetons per cell
ΔE_f = 131 kJ/mol of formula units
E above lowest polymorph = 0.212 eV per atom
D(E_F) = 23.47 states/eV per cell

abc: 3.4942 6.8477 18.1875
angles: 90.00 90.00 90.00
Closest atoms and distances in Å follow each position.
Fractional coordinates of all 12 atoms:
La  0.0000  0.0000  0.0000  2 La 3.49, 4 Pm 3.59, 4 Sm 3.84
La  0.5000  0.5000  0.5000  2 La 3.49, 4 Pm 3.59, 4 Sm 3.84
La  0.5000  0.7311  0.8177  4 Pm 3.44-3.51, 2 La 3.49, 1 Sm 3.67
La  0.5000  0.2689  0.1823  4 Pm 3.44-3.51, 2 La 3.49, 1 Sm 3.67
La  0.0000  0.2311  0.6823  4 Pm 3.44-3.51, 2 La 3.49, 1 Sm 3.67
La  0.0000  0.7689  0.3177  4 Pm 3.44-3.51, 2 La 3.49, 1 Sm 3.67
Pm  0.5000  0.7733  0.1501  1 Sm 3.31, 6 La 3.44-3.59, 2 Pm 3.49
Pm  0.0000  0.2733  0.3499  1 Sm 3.31, 6 La 3.44-3.59, 2 Pm 3.49
Pm  0.0000  0.7267  0.6501  1 Sm 3.31, 6 La 3.44-3.59, 2 Pm 3.49
Pm  0.5000  0.2267  0.8499  1 Sm 3.31, 6 La 3.44-3.59, 2 Pm 3.49
Sm  0.0000  0.0000  0.5000  2 Pm 3.31, 2 Sm 3.49, 2 La 3.67
Sm  0.5000  0.5000  0.0000  2 Pm 3.31, 2 Sm 3.49, 2 La 3.67



Density functional theory data (PBE) for an optimized crystal structure of TaSn2Pt.

calculated volume = 83 Å³ per cell
magnetization = 0.0 Bohr magnetons per cell
ΔE_f = 49 kJ/mol of formula units
E above lowest polymorph = 0.000 eV per atom
D(E_F) = 1.94 states/eV per cell

abc: 3.1074 3.1074 10.1206
angles: 81.17 81.17 60.00
Closest atoms and distances in Å follow each position.
Fractional coordinates of all 4 atoms:
Sn  0.0870  0.0870  0.7389  1 Pt 2.60
Sn  0.9130  0.9130  0.2611  1 Pt 2.60
Pt  0.0000  0.0000  0.0000  2 Sn 2.60
Ta  0.5000  0.5000  0.5000  6 Sn 2.98, 6 Ta 3.11



Density functional theory data (PBE) for an optimized crystal structure of Mg2PIr.

calculated volume = 67 Å³ per cell
magnetization = 0.0 Bohr magnetons per cell
ΔE_f = -170 kJ/mol of formula units
D(E_F) = 0.26 states/eV per cell

abc: 5.2617 5.2617 4.6383
angles: 74.04 74.04 32.91
Closest atoms and distances in Å follow each position.
Fractional coordinates of all 4 atoms:
Ir  0.2145  0.2145  0.2330  2 P 2.36
Mg  0.9700  0.9700  0.0577  3 Ir 2.81-2.89, 4 P 2.82-2.87, 4 Mg 2.92-3.08
Mg  0.7728  0.7728  0.7032  3 P 2.73-3.01, 4 Ir 2.79-2.84, 3 Mg 2.92-2.98
P  0.5428  0.5428  0.5061  2 Ir 2.36



Density functional theory data (PBE) for an optimized crystal structure of ReTeAsN2.

formation energy from raw total energies = 1.95 eV per atom
calculated volume = 100 Å³ per cell
magnetization = 3.6 Bohr magnetons per cell
E above lowest polymorph = 1.266 eV per atom
D(E_F) = 2.89 states/eV per cell

abc: 3.7672 3.7672 7.0477
angles: 90.00 90.00 90.00
Closest atoms and distances in Å follow each position.
Fractional coordinates of all 5 atoms:
Re  0.5000  0.5000  0.5000  4 Te 2.66
As  0.0000  0.0000  0.0000  4 N 1.88
Te  0.0000  0.0000  0.5000  4 Re 2.66
N  0.0000  0.5000  0.0000  2 As 1.88
N  0.5000  0.0000  0.0000  2 As 1.88



Density functional theory data (PBE) for an optimized crystal structure of AcCu2GeN.

formation energy from raw total energies = -0.42 eV per atom
calculated volume = 167 Å³ per cell
magnetization = 0.0 Bohr magnetons per cell
D(E_F) = 3.66 states/eV per cell

abc: 3.8685 6.3001 7.2147
angles: 90.00 90.00 107.88
Closest atoms and distances in Å follow each position.
Fractional coordinates of all 10 atoms:
Ac  0.4567  0.9133  0.7500  4 N 2.70
Ac  0.5433  0.0867  0.2500  4 N 2.70
Cu  0.1647  0.3294  0.9410  1 N 2.02
Cu  0.8353  0.6706  0.0590  1 N 2.02
Cu  0.1647  0.3294  0.5590  1 N 2.02
Cu  0.8353  0.6706  0.4410  1 N 2.02
Ge  0.7316  0.4631  0.7500  6 Cu 2.51-2.55
Ge  0.2684  0.5369  0.2500  6 Cu 2.51-2.55
N  0.0000  0.0000  0.0000  2 Cu 2.02
N  0.0000  0.0000  0.5000  2 Cu 2.02



Density functional theory data (PBE) for an optimized crystal structure of SbOs3.

formation energy from raw total energies = 0.57 eV per atom
calculated volume = 128 Å³ per cell
magnetization = 0.0 Bohr magnetons per cell
D(E_F) = 7.79 states/eV per cell

abc: 5.7551 5.7551 4.4637
angles: 90.00 90.00 120.14
Closest atoms and distances in Å follow each position.
Fractional coordinates of all 8 atoms:
Sb  0.6113  0.3887  0.7500  8 Os 2.69-2.89
Sb  0.3887  0.6113  0.2500  8 Os 2.69-2.89
Os  0.9243  0.0757  0.2500  8 Os 2.69-2.76, 2 Sb 2.89
Os  0.0757  0.9243  0.7500  8 Os 2.69-2.76, 2 Sb 2.89
Os  0.4030  0.0859  0.2500  3 Sb 2.69-2.71, 7 Os 2.73-2.93
Os  0.5970  0.9141  0.7500  3 Sb 2.69-2.71, 7 Os 2.73-2.93
Os  0.9141  0.5970  0.2500  3 Sb 2.69-2.71, 7 Os 2.73-2.93
Os  0.0859  0.4030  0.7500  3 Sb 2.69-2.71, 7 Os 2.73-2.93



Density functional theory data (PBE) for an optimized crystal structure of Nd6SbS4.

formation energy from raw total energies = -1.69 eV per atom
calculated volume = 580 Å³ per cell
magnetization = 0.0 Bohr magnetons per cell
D(E_F) = 18.08 states/eV per cell

abc: 4.1598 7.0133 20.8098
angles: 90.00 90.00 107.25
Closest atoms and distances in Å follow each position.
Fractional coordinates of all 22 atoms:
Nd  0.5000  0.0000  0.0000  6 S 2.84-2.90
Nd  0.5000  0.0000  0.5000  6 S 2.84-2.90
Nd  0.0426  0.0853  0.3417  3 S 2.81-2.85
Nd  0.9574  0.9147  0.6583  3 S 2.81-2.85
Nd  0.9574  0.9147  0.8417  3 S 2.81-2.85
Nd  0.0426  0.0853  0.1583  3 S 2.81-2.85
Nd  0.7726  0.5452  0.4137  5 S 2.85-2.92
Nd  0.2274  0.4548  0.5863  5 S 2.85-2.92
Nd  0.2274  0.4548  0.9137  5 S 2.85-2.92
Nd  0.7726  0.5452  0.0863  5 S 2.85-2.92
Nd  0.3399  0.6798  0.2500  2 S 2.80
Nd  0.6601  0.3202  0.7500  2 S 2.80
Sb  0.6623  0.3245  0.2500  6 Nd 3.16-3.25
Sb  0.3377  0.6755  0.7500  6 Nd 3.16-3.25
S  0.8609  0.7218  0.5384  6 Nd 2.81-2.92
S  0.4075  0.8151  0.1229  6 Nd 2.80-2.86
S  0.1391  0.2782  0.4616  6 Nd 2.81-2.92
S  0.5925  0.1849  0.8771  6 Nd 2.80-2.86
S  0.8609  0.7218  0.9616  6 Nd 2.81-2.92
S  0.1391  0.2782  0.0384  6 Nd 2.81-2.92
S  0.5925  0.1849  0.6229  6 Nd 2.80-2.86
S  0.4075  0.8151  0.3771  6 Nd 2.80-2.86



- Look up the D(E_F) of the fifth one.
  0.26 states/eV per cell